First-principles (PBE) data for a relaxed structure of Mn2NbAlNi, as listed in the Alexandria database.

Geometry as POSCAR:
```
Mn2NbAlNi
1.0
4.5394 0.0000 0.0000
0.0000 4.5394 0.0000
0.0000 0.0000 4.9643
Mn Nb Al Ni
2 1 1 1
Cartesian
0.0000 2.2697 0.0000
2.2697 0.0000 0.0000
0.0000 0.0000 0.0000
0.0000 0.0000 2.4822
2.2697 2.2697 2.4822
```

Computed properties:
theoretical density: 4.68 g/cm³
calculated total energy: -30.80 eV/cell